(1)
RbFeS2N | PBE | optimized geometry

Space-group type: No. 123
N(E_F) (states/eV/cell): 10.72

Unit cell a=5.5572 b=5.5572 c=4.4126 alpha=90.00 beta=90.00 gamma=90.00
Each line ends with the local moment (μB).
Atoms (fractional coordinates):
S: 0.0000 0.5000 0.0000  0.11
S: 0.5000 0.0000 0.0000  0.11
Rb: 0.0000 0.0000 0.0000  -0.02
N: 0.0000 0.0000 0.5000  -1.20
Fe: 0.5000 0.5000 0.5000  3.47

(2)
RbFeS2N | PBE | optimized geometry

Space-group type: No. 123
N(E_F) (states/eV/cell): 3.90

Unit cell a=5.1117 b=5.1117 c=3.5020 alpha=90.00 beta=90.00 gamma=90.00
Each line ends with the local moment (μB).
Atoms (fractional coordinates):
S: 0.0000 0.5000 0.0000  0.10
S: 0.5000 0.0000 0.0000  0.10
Rb: 0.5000 0.5000 0.5000  0.02
Fe: 0.0000 0.0000 0.0000  1.54
N: 0.0000 0.0000 0.5000  -0.25

Most stable structure, least stable structure: (2), (1).

(1)
RbFeTe2N | PBE | optimized geometry

Space-group type: No. 123
N(E_F) (states/eV/cell): 10.68

Unit cell a=6.3172 b=6.3172 c=5.0509 alpha=90.00 beta=90.00 gamma=90.00
Each line ends with the local moment (μB).
Atoms (fractional coordinates):
Te: 0.0000 0.5000 0.0000  0.11
Te: 0.5000 0.0000 0.0000  0.11
Fe: 0.5000 0.5000 0.5000  3.42
Rb: 0.0000 0.0000 0.0000  0.06
N: 0.0000 0.0000 0.5000  1.72

(2)
RbFeTe2N | PBE | optimized geometry

Space-group type: No. 123
N(E_F) (states/eV/cell): 2.80

Unit cell a=5.9693 b=5.9693 c=3.4329 alpha=90.00 beta=90.00 gamma=90.00
Each line ends with the local moment (μB).
Atoms (fractional coordinates):
N: 0.0000 0.0000 0.5000  -0.17
Te: 0.0000 0.5000 0.0000  -0.01
Te: 0.5000 0.0000 0.0000  -0.01
Rb: 0.5000 0.5000 0.5000  0.01
Fe: 0.0000 0.0000 0.0000  1.14

Most stable structure, least stable structure: (2), (1).

(1)
FeReSe2N | PBE | optimized geometry

Space-group type: No. 123
N(E_F) (states/eV/cell): 5.97

Unit cell a=5.0496 b=5.0496 c=3.7161 alpha=90.00 beta=90.00 gamma=90.00
Each line ends with the local moment (μB).
Atoms (fractional coordinates):
Fe: 0.5000 0.5000 0.5000  3.39
N: 0.0000 0.0000 0.5000  0.03
Re: 0.0000 0.0000 0.0000  -0.20
Se: 0.5000 0.0000 0.0000  0.05
Se: 0.0000 0.5000 0.0000  0.05

(2)
FeReSe2N | PBE | optimized geometry

Space-group type: No. 123
N(E_F) (states/eV/cell): 3.26

Unit cell a=4.8179 b=4.8179 c=3.3342 alpha=90.00 beta=90.00 gamma=90.00
Each line ends with the local moment (μB).
Atoms (fractional coordinates):
Se: 0.5000 0.0000 0.0000  -0.06
Se: 0.0000 0.5000 0.0000  -0.06
N: 0.0000 0.0000 0.5000  0.02
Fe: 0.0000 0.0000 0.0000  0.11
Re: 0.5000 0.5000 0.5000  1.73

Most stable structure, least stable structure: (1), (2).

(1)
Ta2FeReN | PBE | optimized geometry

Space-group type: No. 123
N(E_F) (states/eV/cell): 3.42

Unit cell a=4.3222 b=4.3222 c=3.6461 alpha=90.00 beta=90.00 gamma=90.00
Each line ends with the local moment (μB).
Atoms (fractional coordinates):
Fe: 0.0000 0.0000 0.5000  1.58
Ta: 0.0000 0.5000 0.0000  0.05
Ta: 0.5000 0.0000 0.0000  0.05
N: 0.0000 0.0000 0.0000  0.04
Re: 0.5000 0.5000 0.5000  -0.02

(2)
Ta2FeReN | PBE | optimized geometry

Space-group type: No. 123
N(E_F) (states/eV/cell): 5.47

Unit cell a=4.5357 b=4.3480 c=4.5357 alpha=90.00 beta=90.00 gamma=90.00
Atoms (fractional coordinates):
Ta: 0.0000 0.0000 0.5000
Ta: 0.5000 0.0000 0.0000
N: 0.5000 0.5000 0.5000
Re: 0.0000 0.5000 0.0000
Fe: 0.0000 0.0000 0.0000

Most stable structure, least stable structure: (1), (2).

(1)
FeReTe2N | PBE | optimized geometry

Space-group type: No. 123
N(E_F) (states/eV/cell): 3.76

Unit cell a=5.1279 b=5.1279 c=3.3705 alpha=90.00 beta=90.00 gamma=90.00
Each line ends with the local moment (μB).
Atoms (fractional coordinates):
Fe: 0.0000 0.0000 0.0000  -0.05
Te: 0.5000 0.0000 0.0000  -0.04
Te: 0.0000 0.5000 0.0000  -0.04
Re: 0.5000 0.5000 0.5000  1.67
N: 0.0000 0.0000 0.5000  0.02

(2)
FeReTe2N | PBE | optimized geometry

Space-group type: No. 123
N(E_F) (states/eV/cell): 6.45

Unit cell a=5.4029 b=5.4029 c=3.7216 alpha=90.00 beta=90.00 gamma=90.00
Each line ends with the local moment (μB).
Atoms (fractional coordinates):
Te: 0.5000 0.0000 0.0000  0.01
Te: 0.0000 0.5000 0.0000  0.01
N: 0.0000 0.0000 0.5000  0.03
Re: 0.0000 0.0000 0.0000  -0.22
Fe: 0.5000 0.5000 0.5000  3.24

Most stable structure, least stable structure: (2), (1).

(1)
FeRhN2 | PBE | optimized geometry

Space-group type: No. 122
N(E_F) (states/eV/cell): 4.95

Unit cell a=4.4540 b=4.4540 c=5.3723 alpha=65.51 beta=65.51 gamma=90.00
Atoms (fractional coordinates):
Rh: 0.0000 0.0000 0.0000
Rh: 0.7500 0.2500 0.5000
N: 0.5862 0.1250 0.2500
N: 0.1638 0.6250 0.2500
N: 0.3750 0.4138 0.7500
N: 0.8750 0.8362 0.7500
Fe: 0.5000 0.5000 0.0000
Fe: 0.2500 0.7500 0.5000

(2)
FeRhN2 | PBE | optimized geometry

Space-group type: No. 166
N(E_F) (states/eV/cell): 2.90

Unit cell a=6.3701 b=6.3701 c=6.3701 alpha=24.74 beta=24.74 gamma=24.74
Each line ends with the local moment (μB).
Atoms (fractional coordinates):
Rh: 0.0000 0.0000 0.0000  -0.14
N: 0.1055 0.1055 0.1055  -0.03
N: 0.8945 0.8945 0.8945  -0.03
Fe: 0.5000 0.5000 0.5000  1.46

Most stable structure, least stable structure: (1), (2).

(1)
FeRhS2N | PBE | optimized geometry

Space-group type: No. 123
N(E_F) (states/eV/cell): 4.31

Unit cell a=4.5523 b=4.5523 c=3.3361 alpha=90.00 beta=90.00 gamma=90.00
Atoms (fractional coordinates):
N: 0.0000 0.0000 0.5000
S: 0.5000 0.0000 0.0000
S: 0.0000 0.5000 0.0000
Rh: 0.5000 0.5000 0.5000
Fe: 0.0000 0.0000 0.0000

(2)
FeRhS2N | PBE | optimized geometry

Space-group type: No. 123
N(E_F) (states/eV/cell): 6.42

Unit cell a=4.8580 b=4.8580 c=3.6076 alpha=90.00 beta=90.00 gamma=90.00
Each line ends with the local moment (μB).
Atoms (fractional coordinates):
Fe: 0.5000 0.5000 0.5000  3.50
Rh: 0.0000 0.0000 0.0000  0.01
N: 0.0000 0.0000 0.5000  0.03
S: 0.5000 0.0000 0.0000  0.12
S: 0.0000 0.5000 0.0000  0.12

Most stable structure, least stable structure: (1), (2).

(1)
FeRhSeN2 | PBE | optimized geometry

Space-group type: No. 123
N(E_F) (states/eV/cell): 3.94

Unit cell a=3.5405 b=3.5405 c=5.4564 alpha=90.00 beta=90.00 gamma=90.00
Each line ends with the local moment (μB).
Atoms (fractional coordinates):
N: 0.5000 0.0000 0.0000  0.06
N: 0.0000 0.5000 0.0000  0.06
Fe: 0.0000 0.0000 0.0000  0.00
Rh: 0.5000 0.5000 0.5000  0.44
Se: 0.0000 0.0000 0.5000  0.04

(2)
FeRhSeN2 | PBE | optimized geometry

Space-group type: No. 123
N(E_F) (states/eV/cell): 5.89

Unit cell a=3.7432 b=3.7432 c=5.7736 alpha=90.00 beta=90.00 gamma=90.00
Each line ends with the local moment (μB).
Atoms (fractional coordinates):
N: 0.5000 0.0000 0.0000  0.14
N: 0.0000 0.5000 0.0000  0.14
Se: 0.0000 0.0000 0.5000  0.07
Rh: 0.0000 0.0000 0.0000  -0.09
Fe: 0.5000 0.5000 0.5000  3.24

Most stable structure, least stable structure: (1), (2).

(1)
FeRhSe2N | PBE | optimized geometry

Space-group type: No. 123
N(E_F) (states/eV/cell): 6.93

Unit cell a=5.1190 b=5.1190 c=3.6051 alpha=90.00 beta=90.00 gamma=90.00
Each line ends with the local moment (μB).
Atoms (fractional coordinates):
Se: 0.5000 0.0000 0.0000  0.07
Se: 0.0000 0.5000 0.0000  0.07
Fe: 0.5000 0.5000 0.5000  3.40
Rh: 0.0000 0.0000 0.0000  -0.02
N: 0.0000 0.0000 0.5000  -0.01

(2)
FeRhSe2N | PBE | optimized geometry

Space-group type: No. 123
N(E_F) (states/eV/cell): 4.49

Unit cell a=4.7991 b=4.7991 c=3.3348 alpha=90.00 beta=90.00 gamma=90.00
Atoms (fractional coordinates):
N: 0.0000 0.0000 0.5000
Se: 0.0000 0.5000 0.0000
Se: 0.5000 0.0000 0.0000
Rh: 0.5000 0.5000 0.5000
Fe: 0.0000 0.0000 0.0000

Most stable structure, least stable structure: (2), (1).

(1)
Ta2FeRhN | PBE | optimized geometry

Space-group type: No. 123
N(E_F) (states/eV/cell): 6.11

Unit cell a=4.5235 b=4.3210 c=4.5235 alpha=90.00 beta=90.00 gamma=90.00
Atoms (fractional coordinates):
Fe: 0.0000 0.0000 0.0000
Ta: 0.5000 0.0000 0.0000
Ta: 0.0000 0.0000 0.5000
Rh: 0.0000 0.5000 0.0000
N: 0.5000 0.5000 0.5000

(2)
Ta2FeRhN | PBE | optimized geometry

Space-group type: No. 123
N(E_F) (states/eV/cell): 2.99

Unit cell a=4.2308 b=4.2308 c=3.7757 alpha=90.00 beta=90.00 gamma=90.00
Each line ends with the local moment (μB).
Atoms (fractional coordinates):
Rh: 0.5000 0.5000 0.5000  0.03
Ta: 0.5000 0.0000 0.0000  -0.05
Ta: 0.0000 0.5000 0.0000  -0.05
Fe: 0.0000 0.0000 0.5000  1.74
N: 0.0000 0.0000 0.0000  0.03

Most stable structure, least stable structure: (2), (1).

(1)
FeTeRhN2 | PBE | optimized geometry

Space-group type: No. 123
N(E_F) (states/eV/cell): 4.14

Unit cell a=3.6187 b=3.6187 c=5.7536 alpha=90.00 beta=90.00 gamma=90.00
Each line ends with the local moment (μB).
Atoms (fractional coordinates):
N: 0.0000 0.5000 0.0000  0.06
N: 0.5000 0.0000 0.0000  0.06
Fe: 0.0000 0.0000 0.0000  -0.03
Rh: 0.5000 0.5000 0.5000  0.24
Te: 0.0000 0.0000 0.5000  0.01

(2)
FeTeRhN2 | PBE | optimized geometry

Space-group type: No. 123
N(E_F) (states/eV/cell): 5.37

Unit cell a=3.7803 b=3.7803 c=6.1588 alpha=90.00 beta=90.00 gamma=90.00
Each line ends with the local moment (μB).
Atoms (fractional coordinates):
Fe: 0.5000 0.5000 0.5000  2.85
N: 0.0000 0.5000 0.0000  0.16
N: 0.5000 0.0000 0.0000  0.16
Rh: 0.0000 0.0000 0.0000  -0.08
Te: 0.0000 0.0000 0.5000  0.00

Most stable structure, least stable structure: (1), (2).

(1)
FeRuN2 | PBE | optimized geometry

Space-group type: No. 122
N(E_F) (states/eV/cell): 5.42

Unit cell a=4.4254 b=4.4254 c=5.3478 alpha=65.56 beta=65.56 gamma=90.00
Atoms (fractional coordinates):
Fe: 0.5000 0.5000 0.0000
Fe: 0.2500 0.7500 0.5000
N: 0.8750 0.8462 0.7500
N: 0.1538 0.6250 0.2500
N: 0.5962 0.1250 0.2500
N: 0.3750 0.4038 0.7500
Ru: 0.0000 0.0000 0.0000
Ru: 0.7500 0.2500 0.5000

(2)
FeRuN2 | PBE | optimized geometry

Space-group type: No. 225
N(E_F) (states/eV/cell): 4.79

Unit cell a=3.6625 b=3.6625 c=3.6625 alpha=60.00 beta=60.00 gamma=60.00
Atoms (fractional coordinates):
N: 0.7500 0.7500 0.7500
N: 0.2500 0.2500 0.2500
Fe: 0.0000 0.0000 0.0000
Ru: 0.5000 0.5000 0.5000

Most stable structure, least stable structure: (1), (2).